Entry 1:
Material: Li2NdTl4
Method: DFT, GGA-PBE
State: optimized geometry

Calculated values
DFT formation energy = -0.211 eV per atom
N(E_F) = 0.54 states/eV per atom
volume = 25.9 A^3/atom
energy = -2.791 eV/atom

a = 4.950 Å, b = 4.950 Å, c = 9.015 Å
α = 74.06°, β = 74.06°, γ = 60.00°
Sites, in units of the cell vectors:
1 Li 0.249 0.249 0.252
2 Tl 0.608 0.608 0.175
3 Tl 0.392 0.392 0.825
4 Tl 0.866 0.866 0.401
5 Li 0.751 0.751 0.748
6 Tl 0.134 0.134 0.599
7 Nd 0.000 0.000 0.000

Entry 2:
Material: Li4Nd5Tl4
Method: DFT, GGA-PBE
State: optimized geometry

Calculated values
DFT formation energy = -0.260 eV per atom
N(E_F) = 0.73 states/eV per atom
volume = 27.2 A^3/atom
energy = -3.411 eV/atom

a = 4.727 Å, b = 8.973 Å, c = 8.973 Å
α = 86.02°, β = 74.73°, γ = 74.73°
Sites, in units of the cell vectors:
1 Tl 0.055 0.204 0.686
2 Li 0.432 0.670 0.467
3 Li 0.101 0.467 0.330
4 Nd 0.292 0.078 0.337
5 Nd 0.708 0.922 0.663
6 Tl 0.945 0.796 0.314
7 Nd 0.629 0.663 0.078
8 Nd 0.000 0.000 0.000
9 Li 0.899 0.533 0.670
10 Li 0.568 0.330 0.533
11 Nd 0.371 0.337 0.922
12 Tl 0.259 0.686 0.796
13 Tl 0.741 0.314 0.204

Entry 3:
Material: LiNd8Tl2
Method: DFT, GGA-PBE
State: optimized geometry

Calculated values
DFT formation energy = -0.090 eV per atom
N(E_F) = 1.01 states/eV per atom
volume = 32.2 A^3/atom
energy = -4.162 eV/atom

a = 5.416 Å, b = 7.148 Å, c = 9.634 Å
α = 98.24°, β = 106.32°, γ = 90.00°
Sites, in units of the cell vectors:
1 Nd 0.592 0.450 0.185
2 Nd 0.408 0.550 0.815
3 Nd 0.658 0.945 0.315
4 Nd 0.186 0.277 0.373
5 Tl 0.796 0.270 0.592
6 Nd 0.027 0.748 0.054
7 Li 0.500 0.000 0.000
8 Nd 0.814 0.723 0.627
9 Nd 0.342 0.055 0.685
10 Nd 0.973 0.252 0.946
11 Tl 0.204 0.730 0.408

Entry 4:
Material: Li4Nd3Tl2
Method: DFT, GGA-PBE
State: optimized geometry

Calculated values
DFT formation energy = -0.163 eV per atom
N(E_F) = 0.51 states/eV per atom
volume = 23.3 A^3/atom
energy = -3.129 eV/atom

a = 5.060 Å, b = 5.061 Å, c = 9.455 Å
α = 90.00°, β = 90.00°, γ = 120.00°
Sites, in units of the cell vectors:
1 Li 0.333 0.667 0.912
2 Tl 0.333 0.667 0.216
3 Li 0.667 0.333 0.088
4 Nd 0.667 0.333 0.402
5 Li 0.000 0.000 0.331
6 Tl 0.667 0.333 0.784
7 Li 0.000 0.000 0.669
8 Nd 0.333 0.667 0.598
9 Nd 0.000 0.000 0.000

Copy entry 1 word for word.
Material: Li2NdTl4
Method: DFT, GGA-PBE
State: optimized geometry

Calculated values
DFT formation energy = -0.211 eV per atom
N(E_F) = 0.54 states/eV per atom
volume = 25.9 A^3/atom
energy = -2.791 eV/atom

a = 4.950 Å, b = 4.950 Å, c = 9.015 Å
α = 74.06°, β = 74.06°, γ = 60.00°
Sites, in units of the cell vectors:
1 Li 0.249 0.249 0.252
2 Tl 0.608 0.608 0.175
3 Tl 0.392 0.392 0.825
4 Tl 0.866 0.866 0.401
5 Li 0.751 0.751 0.748
6 Tl 0.134 0.134 0.599
7 Nd 0.000 0.000 0.000

Question: Which value of N(E_F) does entry 3 give?
Answer: 1.01 states/eV per atom

Question: Which of these has the lowest volume?
Answer: Li4Nd3Tl2